1.
Density functional theory data (PBE-GGA) for crystalline Mg5Tl2 at its relaxed geometry.

Total magnetic moment ... 0.00 μB per formula unit
D(E_F) ... 2.87 states/eV/f.u.
Symmetry ... Ibam
DFT formation energy ... -28 meV per atom

Lattice parameters (Å, degrees): 8.5977 8.5977 8.5977 136.73 128.99 69.06
With the nearest neighbours (Å) after each atom.
Fractional coordinates of all 14 atoms:
Mg1 0.5000 0.2500 0.7500  4 Tl 3.09, 8 Mg 3.17-3.26
Mg2 0.2698 0.0198 0.7500  4 Tl 3.00-3.12, 5 Mg 3.17-3.26
Tl1 0.8948 0.6209 0.2739  10 Mg 2.97-3.22
Mg3 0.9214 0.0924 0.8290  4 Tl 2.97-3.22, 4 Mg 3.19-3.23
Mg4 0.5000 0.7500 0.2500  4 Tl 3.09, 8 Mg 3.17-3.26
Tl2 0.1052 0.3791 0.7261  10 Mg 2.97-3.22
Mg5 0.7366 0.4076 0.3290  4 Tl 2.97-3.22, 4 Mg 3.19-3.23
Mg6 0.7302 0.9802 0.2500  4 Tl 3.00-3.12, 5 Mg 3.17-3.26
Mg7 0.2698 0.5198 0.2500  4 Tl 3.00-3.12, 5 Mg 3.17-3.26
Mg8 0.2634 0.5924 0.6710  4 Tl 2.97-3.22, 4 Mg 3.19-3.23
Tl3 0.6529 0.8791 0.7739  10 Mg 2.97-3.22
Tl4 0.3471 0.1209 0.2261  10 Mg 2.97-3.22
Mg9 0.0786 0.9076 0.1710  4 Tl 2.97-3.22, 4 Mg 3.19-3.23
Mg10 0.7302 0.4802 0.7500  4 Tl 3.00-3.12, 5 Mg 3.17-3.26

---

2.
Density functional theory data (PBE-GGA) for crystalline Pm2NdEr8 at its relaxed geometry.

Total magnetic moment ... 0.00 μB per formula unit
D(E_F) ... 16.02 states/eV/f.u.
Symmetry ... C2/m
DFT formation energy ... 160 meV per atom
Energy above the most stable polymorph in this dataset ... 47 meV per atom

Lattice parameters (Å, degrees): 5.8693 9.0193 9.1983 60.64 74.52 57.01
With the nearest neighbours (Å) after each atom.
Fractional coordinates of all 11 atoms:
Er1 0.1753 0.9019 0.7654  4 Er 3.23-3.56, 2 Pm 3.45-3.47
Er2 0.7052 0.5689 0.0000  4 Er 2.97-3.26
Er3 0.8247 0.3326 0.7654  4 Er 3.23-3.56, 2 Pm 3.45-3.47
Er4 0.5000 0.2085 0.5831  2 Pm 3.33, 1 Nd 3.34, 6 Er 3.56-3.68
Er5 0.5000 0.7915 0.4169  2 Pm 3.33, 1 Nd 3.34, 6 Er 3.56-3.68
Er6 0.1753 0.6674 0.2346  4 Er 3.23-3.56, 2 Pm 3.45-3.47
Er7 0.8247 0.0981 0.2346  4 Er 3.23-3.56, 2 Pm 3.45-3.47
Pm1 0.0000 0.3066 0.3868  8 Er 3.33-3.47
Pm2 0.0000 0.6934 0.6132  8 Er 3.33-3.47
Er8 0.2948 0.4311 0.0000  4 Er 2.97-3.26
Nd1 0.5000 0.0000 0.0000  4 Er 3.34-3.39

---

3.
Density functional theory data (PBE-GGA) for crystalline AcPrTm14 at its relaxed geometry.

Total magnetic moment ... 0.00 μB per formula unit
D(E_F) ... 24.59 states/eV/f.u.
Symmetry ... Amm2
DFT formation energy ... 18 meV per atom

Lattice parameters (Å, degrees): 7.2014 7.2014 11.2138 90.00 90.00 119.81
With the nearest neighbours (Å) after each atom.
Fractional coordinates of all 16 atoms:
Tm1 0.3352 0.6648 0.2556  11 Tm 3.44-3.63, 1 Ac 3.57
Tm2 0.3338 0.1686 0.7420  10 Tm 3.41-3.63, 1 Pr 3.56, 1 Ac 3.57
Tm3 0.1669 0.8331 0.5000  12 Tm 3.43-3.61
Tm4 0.3352 0.6648 0.7444  11 Tm 3.44-3.63, 1 Ac 3.57
Tm5 0.8344 0.1656 0.7476  11 Tm 3.46-3.62, 1 Pr 3.53
Tm6 0.8314 0.6662 0.2580  10 Tm 3.41-3.63, 1 Pr 3.56, 1 Ac 3.57
Tm7 0.6666 0.8341 0.5000  12 Tm 3.41-3.62
Pr1 0.6653 0.3347 0.0000  10 Tm 3.53-3.62, 2 Ac 3.61
Tm8 0.3338 0.1686 0.2580  10 Tm 3.41-3.63, 1 Pr 3.56, 1 Ac 3.57
Tm9 0.6662 0.8318 0.0000  8 Tm 3.52-3.63, 2 Pr 3.58-3.62, 2 Ac 3.58-3.62
Tm10 0.8314 0.6662 0.7420  10 Tm 3.41-3.63, 1 Pr 3.56, 1 Ac 3.57
Tm11 0.8344 0.1656 0.2524  11 Tm 3.46-3.62, 1 Pr 3.53
Tm12 0.6667 0.3333 0.5000  12 Tm 3.42-3.61
Tm13 0.1659 0.3334 0.5000  12 Tm 3.41-3.62
Ac1 0.1647 0.8353 0.0000  10 Tm 3.57-3.62, 2 Pr 3.61
Tm14 0.1682 0.3338 0.0000  8 Tm 3.52-3.63, 2 Pr 3.58-3.62, 2 Ac 3.58-3.62

---

4.
Density functional theory data (PBE-GGA) for crystalline Er3Si4Tc4 at its relaxed geometry.

E_form (uncorrected) ... -0.5747 eV per atom
Total magnetic moment ... 0.00 μB per formula unit
D(E_F) ... 6.82 states/eV/f.u.
Symmetry ... Immm

Lattice parameters (Å, degrees): 3.6027 7.6641 8.0948 118.25 102.86 90.00
With the nearest neighbours (Å) after each atom.
Fractional coordinates of all 11 atoms:
Si1 0.2207 0.7207 0.4413  6 Tc 2.46-2.72
Tc1 0.6731 0.4722 0.3462  4 Si 2.46-2.72
Tc2 0.3269 0.5278 0.6538  4 Si 2.46-2.72
Si2 0.5000 0.2038 0.0000  2 Tc 2.50
Si3 0.5000 0.7962 0.0000  2 Tc 2.50
Tc3 0.3269 0.1259 0.6538  4 Si 2.46-2.72
Er1 0.8789 0.8789 0.7578  6 Si 2.83-2.91, 4 Tc 3.00
Tc4 0.6731 0.8741 0.3462  4 Si 2.46-2.72
Er2 0.0000 0.5000 0.0000  6 Si 2.90-3.04
Si4 0.7793 0.2793 0.5587  6 Tc 2.46-2.72
Er3 0.1211 0.1211 0.2422  6 Si 2.83-2.91, 4 Tc 3.00